Record 1
Density functional theory data (PBE) for crystalline CoSi2Os at its relaxed geometry.

Cell: 2.808 4.684 4.900 Å, 50.76 90.00 90.00°
Site moments in Bohr magnetons follow the coordinates.
Fractional positions:
Co  0.500  0.500  0.500  0.31
Os  0.000  0.000  0.500  0.04
Si  0.500  0.500  0.000  0.00
Si  0.000  0.000  0.000  0.00

Formation energy (no corrections) in meV per atom: -224
Space group: No. 10
Fermi-level density of states in states/eV per cell: 2.90
E in eV/atom: -7.52
Mass density in g cm⁻³: 10.16

---

Record 2
Density functional theory data (PBE) for crystalline MgMn2Au8 at its relaxed geometry.

Cell: 4.181 6.656 7.577 Å, 108.03 106.02 90.00°
Site moments in Bohr magnetons follow the coordinates.
Fractional positions:
Mn  0.222  0.645  0.444  3.94
Mg  0.500  0.000  0.000  -0.01
Au  0.600  0.454  0.201  0.03
Au  0.400  0.546  0.799  0.03
Mn  0.778  0.355  0.556  3.94
Au  0.320  0.086  0.640  0.02
Au  0.680  0.914  0.360  0.02
Au  0.855  0.800  0.711  0.03
Au  0.043  0.732  0.087  0.00
Au  0.957  0.268  0.913  0.00
Au  0.145  0.200  0.289  0.03

E above lowest polymorph in eV per atom: 0.000
ΔH_f (0 K) in eV per formula unit: -2.0
Space group: No. 12
Fermi-level density of states in states/eV per cell: 4.12
E in eV/atom: -4.38
Mass density in g cm⁻³: 14.80

---

Record 3
Density functional theory data (PBE) for crystalline PrYAl2Pd5 at its relaxed geometry.

Cell: 4.286 4.286 9.270 Å, 90.00 90.00 90.00°
Fractional positions:
Pd  0.500  0.500  0.500
Pd  0.000  0.500  0.730
Pd  0.500  0.000  0.730
Pd  0.500  0.000  0.270
Al  0.500  0.500  0.860
Pr  0.000  0.000  0.500
Al  0.500  0.500  0.140
Pd  0.000  0.500  0.270
Y  0.000  0.000  0.000

ΔH_f (0 K) in eV per formula unit: -7.2
Space group: No. 123
Fermi-level density of states in states/eV per cell: 6.01
E in eV/atom: -5.76
Mass density in g cm⁻³: 7.95